Entry 1:
First-principles (PBE) data for a relaxed CsTlTe3 crystal, as listed in Alexandria.

SG: P1, No. 1
formation energy without anion corrections: -2.08 eV per formula unit
excess energy over the best structure of this formula in the dataset: 0.00 eV per formula unit
E_tot: -29.46 eV per cell

Geometry as POSCAR:
```
CsTlTe3
1.0
6.4940 0.0000 0.0000
0.8227 7.8212 0.0000
1.1756 0.9743 8.7592
Cs Tl Te
2 2 6
Cartesian
0.0000 0.0000 0.0000 Cs
3.4778 4.4740 1.3121 Cs
3.1386 3.8406 5.5053 Tl
5.5486 1.3221 4.1718 Tl
2.1562 7.1554 3.9265 Te
3.2691 0.5996 2.3181 Te
4.4850 0.8291 6.8224 Te
6.2056 5.8073 5.8896 Te
6.7008 3.9253 3.5786 Te
7.8029 4.9030 8.0095 Te
```


Entry 2:
First-principles (PBE) data for a relaxed LaCoHg crystal, as listed in Alexandria.

calculated formation energy: 0.52 eV per atom
SG: F-43m, No. 216
E_tot: -43.05 eV per cell

Geometry as POSCAR:
```
LaCoHg
1.0
7.0107 0.0000 0.0000
0.0000 7.0107 0.0000
0.0000 0.0000 7.0107
La Co Hg
4 4 4
Cartesian
0.0000 0.0000 0.0000 La
0.0000 3.5054 3.5054 La
3.5054 0.0000 3.5054 La
3.5054 3.5054 0.0000 La
1.7527 1.7527 1.7527 Co
1.7527 5.2580 5.2580 Co
5.2580 1.7527 5.2580 Co
5.2580 5.2580 1.7527 Co
1.7527 1.7527 5.2580 Hg
1.7527 5.2580 1.7527 Hg
5.2580 1.7527 1.7527 Hg
5.2580 5.2580 5.2580 Hg
```


Entry 3:
First-principles (PBE) data for a relaxed HoPuCdGa crystal, as listed in Alexandria.

calculated formation energy: -0.25 eV per atom
SG: F-43m, No. 216
E_tot: -95.37 eV per cell

Geometry as POSCAR:
```
HoPuCdGa
1.0
7.3391 0.0000 0.0000
0.0000 7.3391 0.0000
0.0000 0.0000 7.3391
Ho Pu Cd Ga
4 4 4 4
Cartesian
0.0000 0.0000 0.0000 Ho
0.0000 3.6696 3.6696 Ho
3.6696 0.0000 3.6696 Ho
3.6696 3.6696 0.0000 Ho
0.0000 0.0000 3.6696 Pu
0.0000 3.6696 0.0000 Pu
3.6696 0.0000 0.0000 Pu
3.6696 3.6696 3.6696 Pu
1.8348 1.8348 5.5043 Cd
1.8348 5.5043 1.8348 Cd
5.5043 1.8348 1.8348 Cd
5.5043 5.5043 5.5043 Cd
1.8348 1.8348 1.8348 Ga
1.8348 5.5043 5.5043 Ga
5.5043 1.8348 5.5043 Ga
5.5043 5.5043 1.8348 Ga
```


Entry 4:
First-principles (PBE) data for a relaxed Sm4GaPd crystal, as listed in Alexandria.

calculated formation energy: -0.42 eV per atom
SG: P2_1/m, No. 11
excess energy over the best structure of this formula in the dataset: 0.00 eV per formula unit
E_tot: -59.27 eV per cell

Geometry as POSCAR:
```
Sm4GaPd
1.0
6.2132 0.0000 0.0000
0.0000 6.9400 0.0000
-2.8525 0.0000 7.9021
Sm Ga Pd
8 2 2
Cartesian
-0.6619 0.0049 1.8489 Sm
-0.6619 3.4651 1.8489 Sm
0.7914 1.7350 4.7809 Sm
2.3566 1.7350 0.8324 Sm
1.0042 5.2050 7.0698 Sm
2.5694 5.2050 3.1212 Sm
4.0226 3.4749 6.0533 Sm
4.0226 6.9351 6.0533 Sm
-0.3121 5.2050 4.3373 Ga
3.6728 1.7350 3.5648 Ga
1.3311 5.2050 0.5007 Pd
2.0296 1.7350 7.4014 Pd
```


Entry 5:
First-principles (PBE) data for a relaxed Pa2AlTc3 crystal, as listed in Alexandria.

calculated formation energy: -0.25 eV per atom
SG: C2/c, No. 15
excess energy over the best structure of this formula in the dataset: 0.32 eV per formula unit
E_tot: -110.62 eV per cell

Geometry as POSCAR:
```
Pa2AlTc3
1.0
6.6628 -2.7875 0.0000
6.6628 2.7875 0.0000
-1.8235 0.0000 5.9209
Pa Al Tc
4 2 6
Cartesian
2.8044 1.8274 5.2927 Pa
7.7860 1.8274 3.5886 Pa
3.7161 -1.8274 2.3323 Pa
8.6978 -1.8274 0.6281 Pa
6.2069 0.0002 1.4802 Al
5.2952 -0.0002 4.4407 Al
6.2069 2.6364 1.4802 Tc
3.8237 1.0598 2.5057 Tc
8.5902 1.0598 0.4547 Tc
2.9120 -1.0598 5.4661 Tc
7.6784 -1.0598 3.4152 Tc
5.2952 -2.6364 4.4407 Tc
```


Entry 6:
First-principles (PBE) data for a relaxed MgBClF4 crystal, as listed in Alexandria.

SG: C2/m, No. 12
formation energy without anion corrections: -19.31 eV per formula unit
E_tot: -73.84 eV per cell

Geometry as POSCAR:
```
MgBClF4
1.0
4.3329 -3.2268 0.0000
4.3329 3.2268 0.0000
-4.2348 0.0000 7.5024
Mg B Cl F
2 2 2 8
Cartesian
0.6097 0.0000 1.5965 Mg
3.8214 0.0000 5.9059 Mg
0.4089 0.0000 4.9993 B
4.0222 0.0000 2.5032 B
-2.6675 0.0000 6.9216 Cl
7.0987 0.0000 0.5808 Cl
-0.1601 1.1524 5.5734 F
0.1169 0.0000 3.5990 F
2.6074 0.0000 2.3436 F
4.5912 1.1524 1.9290 F
-0.1601 -1.1524 5.5734 F
1.8238 0.0000 5.1588 F
4.3142 0.0000 3.9034 F
4.5912 -1.1524 1.9290 F
```